A geometry-optimized Pa2W2N7 structure, computed with PBE.

N(E_F) ... 0.6131 states/eV/atom
Size of the total moment ... 0.0 μB/f.u.
Theoretical density ... 11.129 g/cm³
E ... -10.2890 eV/atom

Cell: 7.316 7.316 7.316 Å, 60.00 60.00 60.00°
Atoms (fractional coordinates):
N  0.209  0.791  0.209
N  0.750  0.750  0.750
N  0.500  0.500  0.500
N  0.459  0.041  0.459
N  0.459  0.041  0.041
N  0.791  0.791  0.209
N  0.791  0.209  0.209
N  0.041  0.459  0.459
N  0.209  0.791  0.791
N  0.041  0.459  0.041
N  0.041  0.041  0.459
N  0.459  0.459  0.041
N  0.791  0.209  0.791
N  0.209  0.209  0.791
W  0.125  0.625  0.125
W  0.125  0.125  0.125
W  0.625  0.125  0.125
W  0.125  0.125  0.625
Pa  0.625  0.625  0.625
Pa  0.625  0.125  0.625
Pa  0.625  0.625  0.125
Pa  0.125  0.625  0.625